# Sc3InO | the Alexandria database | PBE | optimized geometry
data_Sc3InO
_chemical_formula_sum 'Sc12 In4 O4'
_cell_length_a 8.0906
_cell_length_b 5.8379
_cell_length_c 8.7553
_cell_angle_alpha 90.00
_cell_angle_beta 113.53
_cell_angle_gamma 90.00
_space_group_name_H-M_alt 'P 1 21/c 1'
_space_group_IT_number 14
loop_
_space_group_symop_operation_xyz
'x,y,z'
'-x,-y,-z'
'-x,y+1/2,-z+1/2'
'x,-y+1/2,z+1/2'
loop_
_atom_site_label
_atom_site_fract_x
_atom_site_fract_y
_atom_site_fract_z
Sc1 0.0456 0.0838 0.3466
Sc2 0.1852 0.5612 0.5379
Sc3 0.3492 0.1361 0.7649
In1 0.3820 0.6669 0.8892
O1 0.0701 0.2426 0.5891
# VASP energy (eV/atom): -6.610
# Uncorrected formation energy (meV per atom): -1272

=====

# BeRh2F | the Alexandria database | PBE | optimized geometry
data_BeRh2F
_chemical_formula_sum 'Be4 Rh8 F4'
_cell_length_a 6.5298
_cell_length_b 6.5298
_cell_length_c 4.8453
_cell_angle_alpha 90.00
_cell_angle_beta 90.00
_cell_angle_gamma 90.00
_space_group_name_H-M_alt 'I -4 2 d'
_space_group_IT_number 122
_space_group_name_Hall 'I -4 2bw'
loop_
_atom_site_label
_atom_site_fract_x
_atom_site_fract_y
_atom_site_fract_z
Be1 0.0000 0.0000 0.0000
Rh1 0.2095 0.2500 0.1250
F1 0.0000 0.0000 0.5000
# VASP energy (eV/atom): -5.033
# Uncorrected formation energy (meV per atom): 42
# Energy above the most stable polymorph in this dataset (meV/atom): 65.1